DFT (PBE with a Hubbard U) results for an optimized crystal structure of BaV2CdO7.

Geometry as POSCAR:
```
BaV2CdO7
1.0
-4.703 -1.100 3.209
-3.829 -2.029 -6.308
4.739 -14.785 1.880
O Ba V Cd
28 4 8 4
Direct
0.491 0.843 0.560 O
0.991 0.157 0.440 O
0.509 0.297 0.151 O
0.250 0.984 0.781 O
0.750 0.484 0.719 O
0.250 0.591 0.654 O
0.509 0.343 0.940 O
0.250 0.933 0.968 O
0.250 0.516 0.281 O
0.491 0.657 0.060 O
0.491 0.703 0.849 O
0.509 0.203 0.651 O
0.750 0.409 0.346 O
0.491 0.797 0.349 O
0.009 0.703 0.849 O
0.991 0.203 0.651 O
0.750 0.091 0.846 O
0.250 0.567 0.468 O
0.009 0.797 0.349 O
0.991 0.297 0.151 O
0.509 0.157 0.440 O
0.750 0.067 0.032 O
0.750 0.016 0.219 O
0.750 0.433 0.532 O
0.991 0.343 0.940 O
0.009 0.657 0.060 O
0.009 0.843 0.560 O
0.250 0.909 0.154 O
0.250 0.139 0.285 Ba
0.250 0.361 0.785 Ba
0.750 0.639 0.215 Ba
0.750 0.861 0.715 Ba
0.250 0.665 0.361 V
0.750 0.296 0.438 V
0.250 0.835 0.861 V
0.750 0.165 0.139 V
0.250 0.796 0.062 V
0.250 0.704 0.562 V
0.750 0.335 0.639 V
0.750 0.204 0.938 V
0.750 0.882 0.449 Cd
0.250 0.382 0.051 Cd
0.750 0.618 0.949 Cd
0.250 0.118 0.551 Cd
```

## Properties
- mass density (g cm⁻³) = 4.4
- size of the total moment (Bohr magnetons per cell) = 0.00
- electronic total energy (eV per atom) = -6.8164